[1]
Below is La3CdIr after structural relaxation, with properties calculated at the GGA-PBE level.

abc: 8.3788 8.3788 15.2648
angles: 90.00 90.00 120.00
Space group R3c (No. 161, hexagonal axes)
One atom of each set of equivalent atoms:
La  0.0824  0.3717  0.0000 (multiplicity 18)
Cd  0.0000  0.0000  0.1490 (multiplicity 6)
Ir  0.0000  0.0000  0.4533 (multiplicity 6)

* D(E_F): 27.54 states/eV per cell
* formation energy from the elements: -428 meV/atom
* energy above the lowest structure with this stoichiometry: 0.305 eV per formula unit
* spin magnetization: 0.0 μB/f.u.
* DFT total energy: -5.3395 eV/atom



[2]
Below is CdBr3F after structural relaxation, with properties calculated at the GGA-PBE level.

abc: 4.984 4.984 4.984
angles: 90.00 90.00 90.00
Space group Pm-3m (No. 221)
One atom of each set of equivalent atoms:
Cd  0.000  0.000  0.000 (multiplicity 1)
Br  0.000  0.500  0.500 (multiplicity 3)
F  0.500  0.500  0.500 (multiplicity 1)

* D(E_F): 3.43 states/eV per cell
* formation energy (no corrections): 0.5 eV per formula unit
* energy above the lowest structure with this stoichiometry: 0.806 eV per formula unit
* spin magnetization: 0.0 μB/f.u.
* DFT total energy: -1.4658 eV/atom